[1]
A relaxed KMgTl crystal, computed with PBE.

Lattice parameters (Å, degrees): 8.0066 8.0066 8.0066 90.00 90.00 90.00
Space group F-43m (No. 216)
Asymmetric unit:
1 K 0.0000 0.0000 0.0000 [4 per cell]
2 Mg 0.2500 0.2500 0.2500 [4 per cell]
3 Tl 0.2500 0.2500 0.7500 [4 per cell]

Computed properties:
- DFT formation energy: 0.434 eV per atom
- D(E_F): 2.8 states/eV/f.u.

[2]
A relaxed YGe2IrRh2 crystal, computed with PBE.

Lattice parameters (Å, degrees): 4.6435 4.6435 5.5175 90.00 90.00 90.00
Space group P4/mmm (No. 123)
Asymmetric unit:
1 Y 0.0000 0.0000 0.0000 [1 per cell]
2 Ge 0.0000 0.5000 0.5000 [2 per cell]
3 Ir 0.0000 0.0000 0.5000 [1 per cell]
4 Rh 0.5000 0.5000 0.2449 [2 per cell]

Computed properties:
- DFT formation energy: -0.166 eV per atom
- D(E_F): 6.4 states/eV/f.u.